VASP calculation (PBE) on a relaxed structure of Li3PmAs2.

Unit cell a=16.3983 b=4.0993 c=10.2071 alpha=90.00 beta=101.01 gamma=90.00
With the nearest neighbours (Å) after each atom.
Space group C2/m (No. 12)
Unique sites:
Li  0.0000  0.0000  0.0000 x2  2 As 2.36
Li  0.0508  0.5000  0.8397 x4  5 Li 2.56-2.85, 4 As 2.83
Li  0.1223  0.0000  0.7307 x4  4 As 2.58-2.69, 3 Li 2.70-2.81
Li  0.1822  0.0000  0.4903 x4  4 As 2.59-2.70, 1 Li 2.81
Li  0.2096  0.5000  0.9067 x4  4 As 2.44-2.60, 1 Li 2.56
Pm  0.0000  0.5000  0.5000 x2  6 As 3.02-3.24
Pm  0.1659  0.5000  0.2175 x4  6 As 3.06-3.19, 4 Li 3.31-3.41
As  0.0445  0.0000  0.3075 x4  4 Li 2.64-2.83
As  0.1429  0.0000  0.9914 x4  5 Li 2.36-2.62
As  0.1933  0.5000  0.6486 x4  6 Li 2.58-2.70

Results
- uncorrected energy (eV per atom) = -4.216
- calculated formation energy (eV/f.u.) = -5.51
- volume (Å³/cell) = 673.52